# 1
The following is a GGA-PBE calculation of crystalline VMo8 at its relaxed geometry, from Alexandria via LeMat-Bulk.

a = 3.146 Å, b = 6.861 Å, c = 6.861 Å
α = 86.99°, β = 76.75°, γ = 76.75°
Fractional positions:
V 0.000 0.000 0.000
Mo 0.665 0.669 0.000
Mo 0.335 0.331 0.000
Mo 0.332 0.668 0.668
Mo 0.335 0.000 0.331
Mo 0.000 0.332 0.668
Mo 0.665 0.000 0.669
Mo 0.000 0.668 0.332
Mo 0.668 0.332 0.332

ΔE_f (eV per atom): -0.065
SG: I4/mmm

***

# 2
The following is a GGA-PBE calculation of crystalline TbHoMgSn at its relaxed geometry, from Alexandria via LeMat-Bulk.

a = 5.294 Å, b = 5.294 Å, c = 5.294 Å
α = 60.00°, β = 60.00°, γ = 60.00°
Fractional positions:
Ho 0.250 0.250 0.250
Mg 0.000 0.000 0.000
Tb 0.750 0.750 0.750
Sn 0.500 0.500 0.500

ΔE_f (eV per atom): -0.396
SG: F-43m

***

# 3
The following is a GGA-PBE calculation of crystalline Pr2OsBr at its relaxed geometry, from Alexandria via LeMat-Bulk.

a = 4.177 Å, b = 4.177 Å, c = 8.197 Å
α = 75.24°, β = 75.24°, γ = 60.00°
Fractional positions:
Br 0.500 0.500 0.500
Os 0.000 0.000 0.000
Pr 0.732 0.732 0.803
Pr 0.268 0.268 0.197

SG: R-3m
ΔE_f (raw) (eV/atom): -0.6033

***

# 4
The following is a GGA-PBE calculation of crystalline TaSOF2 at its relaxed geometry, from Alexandria via LeMat-Bulk.

a = 4.838 Å, b = 4.838 Å, c = 3.277 Å
α = 90.00°, β = 90.00°, γ = 90.00°
Fractional positions:
O 0.000 0.000 0.500
F 0.000 0.500 0.000
F 0.500 0.000 0.000
S 0.000 0.000 0.000
Ta 0.500 0.500 0.500

SG: P4/mmm
ΔE_f (raw) (eV/atom): 0.2324

***

# 5
The following is a GGA-PBE calculation of crystalline PrTlSb2 at its relaxed geometry, from Alexandria via LeMat-Bulk.

a = 5.151 Å, b = 5.151 Å, c = 6.687 Å
α = 67.35°, β = 67.35°, γ = 60.00°
Fractional positions:
Sb 0.088 0.088 0.735
Pr 0.670 0.670 0.990
Sb 0.254 0.254 0.239
Tl 0.488 0.488 0.535

SG: R3m
ΔE_f (raw) (eV/atom): -0.3761

***

# 6
The following is a GGA-PBE calculation of crystalline Ag2SbCl8 at its relaxed geometry, from Alexandria via LeMat-Bulk.

a = 6.514 Å, b = 7.662 Å, c = 7.663 Å
α = 91.15°, β = 103.30°, γ = 103.29°
Fractional positions:
Cl 0.771 0.016 0.702
Cl 0.217 0.496 0.496
Cl 0.783 0.504 0.504
Cl 0.779 0.138 0.138
Sb 0.000 0.000 0.000
Ag 0.425 0.336 0.336
Cl 0.221 0.862 0.862
Ag 0.575 0.664 0.664
Cl 0.771 0.702 0.016
Cl 0.229 0.298 0.984
Cl 0.229 0.984 0.298

SG: C2/m
ΔE_f (raw) (eV/atom): -0.5025

***

# 7
The following is a GGA-PBE calculation of crystalline TcAsSe2I at its relaxed geometry, from Alexandria via LeMat-Bulk.

a = 4.833 Å, b = 4.833 Å, c = 5.149 Å
α = 90.00°, β = 90.00°, γ = 90.00°
Fractional positions:
Se 0.000 0.500 0.000
As 0.000 0.000 0.500
Tc 0.000 0.000 0.000
Se 0.500 0.000 0.000
I 0.500 0.500 0.500

SG: P4/mmm
ΔE_f (raw) (eV/atom): 0.3296

***

# 8
The following is a GGA-PBE calculation of crystalline In3Ga3Sn at its relaxed geometry, from Alexandria via LeMat-Bulk.

a = 5.297 Å, b = 8.559 Å, c = 8.559 Å
α = 120.00°, β = 90.00°, γ = 90.00°
Fractional positions:
In 0.250 0.093 0.639
Ga 0.250 0.218 0.045
In 0.750 0.639 0.546
Sn 0.750 0.333 0.667
Sn 0.250 0.667 0.333
In 0.750 0.454 0.093
In 0.250 0.361 0.454
Ga 0.250 0.955 0.174
Ga 0.250 0.826 0.782
Ga 0.750 0.782 0.955
In 0.750 0.907 0.361
Ga 0.750 0.174 0.218
Ga 0.750 0.045 0.826
In 0.250 0.546 0.907

ΔE_f (eV per atom): 0.048
SG: P6_3/m